Record 1
Density functional theory data (GGA-PBE) for KPmRu2O8 after structural relaxation.

The space group is P-3 (No. 147) and the conventional cell measures 6.0231, 6.0231 and 7.7465 Å, with angles of 90.00, 90.00 and 120.00 degrees. The inequivalent atoms are K at (0.0000, 0.0000, 0.0000), Pm at (0.0000, 0.0000, 0.5000), Ru at (0.3333, 0.6667, 0.7735), O at (0.1656, 0.3417, 0.6928) and O at (0.3333, 0.6667, 0.9991).

Its uncorrected formation energy is -1.462 eV/atom. The calculation puts the size of the total moment at 4.03 μB/f.u.

Record 2
Density functional theory data (GGA-PBE) for PrBC2 after structural relaxation.

The space group is R-3m (No. 166, hexagonal axes) and the conventional cell measures 4.0127, 4.0127 and 15.5984 Å, with angles of 90.00, 90.00 and 120.00 degrees. The inequivalent atoms are Pr at (0.0000, 0.0000, 0.0000), B at (0.0000, 0.0000, 0.5000) and C at (0.0000, 0.0000, 0.4083).

The calculation puts the size of the total moment at 0.00 μB/f.u. For the formation energy, the calculation gives 2.5 eV per formula unit. The value obtained for the relative energy among the computed polymorphs is 586 meV per atom.

Record 3
Density functional theory data (GGA-PBE) for HoTlCdIn after structural relaxation.

The space group is F-43m (No. 216) and the conventional cell measures 7.4355, 7.4355 and 7.4355 Å, with angles of 90.00, 90.00 and 90.00 degrees. The inequivalent atoms are Ho at (0.0000, 0.0000, 0.0000), Tl at (0.2500, 0.2500, 0.2500), Cd at (0.0000, 0.0000, 0.5000) and In at (0.2500, 0.2500, 0.7500).

The calculation puts the size of the total moment at 0.00 μB/f.u. For the formation energy, the calculation gives -0.5 eV per formula unit. The value obtained for the relative energy among the computed polymorphs is 157 meV per atom.

Record 4
Density functional theory data (GGA-PBE) for TbNpMn4 after structural relaxation.

The space group is F-43m (No. 216) and the conventional cell measures 7.1435, 7.1435 and 7.1435 Å, with angles of 90.00, 90.00 and 90.00 degrees. The inequivalent atoms are Tb at (0.0000, 0.0000, 0.0000), Np at (0.2500, 0.2500, 0.2500) and Mn at (0.1243, 0.1243, 0.6243).

The calculation puts the size of the total moment at 6.44 μB/f.u. For the formation energy, the calculation gives 1.6 eV per formula unit.

Record 5
Density functional theory data (GGA-PBE) for Ba2AgRu after structural relaxation.

The space group is R-3m (No. 166, hexagonal axes) and the conventional cell measures 4.1379, 4.1379 and 27.4499 Å, with angles of 90.00, 90.00 and 120.00 degrees. The inequivalent atoms are Ba at (0.0000, 0.0000, 0.2413), Ag at (0.0000, 0.0000, 0.0000) and Ru at (0.0000, 0.0000, 0.5000).

The calculation puts the size of the total moment at 0.19 μB/f.u. For the formation energy, the calculation gives 1.9 eV per formula unit. The value obtained for the relative energy among the computed polymorphs is 230 meV per atom.

Record 6
Density functional theory data (GGA-PBE) for Ti5NbFe6 after structural relaxation.

The space group is Immm (No. 71) and the conventional cell measures 4.2080, 5.9409 and 12.6083 Å, with angles of 90.00, 90.00 and 90.00 degrees. The inequivalent atoms are Ti at (0.0000, 0.0000, 0.0000), Ti at (0.0000, 0.0000, 0.3309), Ti at (0.0000, 0.5000, 0.3333), Nb at (0.0000, 0.5000, 0.0000), Fe at (0.0000, 0.2487, 0.1676) and Fe at (0.0000, 0.2526, 0.5000).

The calculation puts the size of the total moment at 0.41 μB/f.u. For the formation energy, the calculation gives -4.1 eV per formula unit.

Record 7
Density functional theory data (GGA-PBE) for AlCdIn after structural relaxation.

The space group is P-1 (No. 2) and the conventional cell measures 4.6710, 5.1978 and 6.6671 Å, with angles of 82.50, 69.76 and 69.67 degrees. The inequivalent atoms are Al at (0.2013, 0.0000, 0.0970), Cd at (0.1695, 0.1958, 0.4983) and In at (0.3534, 0.4997, 0.7875).

The calculation puts the size of the total moment at 0.00 μB/f.u. For the formation energy, the calculation gives 0.4 eV per formula unit.

Record 8
Density functional theory data (GGA-PBE) for Ba6Cd5Au after structural relaxation.

The space group is Cmmm (No. 65) and the conventional cell measures 5.9792, 18.0101 and 8.3797 Å, with angles of 90.00, 90.00 and 90.00 degrees. The inequivalent atoms are Ba at (0.0000, 0.0000, 0.2399), Ba at (0.0000, 0.3392, 0.2460), Cd at (0.0000, 0.1683, 0.5000), Cd at (0.0000, 0.1762, 0.0000), Cd at (0.0000, 0.5000, 0.5000) and Au at (0.0000, 0.5000, 0.0000).

The calculation puts the size of the total moment at 0.00 μB/f.u. For the formation energy, the calculation gives -4.5 eV per formula unit.

Record 9
Density functional theory data (GGA-PBE) for YPd3Au9 after structural relaxation.

The space group is C2/m (No. 12) and the conventional cell measures 5.6397, 13.0741 and 7.1959 Å, with angles of 90.00, 112.29 and 90.00 degrees. The inequivalent atoms are Y at (0.0000, 0.0000, 0.0000), Pd at (0.0000, 0.0000, 0.5000), Pd at (0.2500, 0.2500, 0.0000), Au at (0.0000, 0.5000, 0.5000), Au at (0.1098, 0.3916, 0.2142) and Au at (0.1575, 0.1696, 0.3316).

The calculation puts the size of the total moment at 0.00 μB/f.u. For the formation energy, the calculation gives -3.1 eV per formula unit.

Record 10
Density functional theory data (GGA-PBE) for LiCu2Te2 after structural relaxation.

The space group is P-1 (No. 2) and the conventional cell measures 4.1751, 4.2102 and 6.4893 Å, with angles of 77.78, 84.00 and 76.43 degrees. The inequivalent atoms are Li at (0.0000, 0.0000, 0.0000), Cu at (0.2161, 0.7229, 0.4988) and Te at (0.3154, 0.2995, 0.2469).

Its uncorrected formation energy is -0.297 eV/atom. The calculation puts the size of the total moment at 0.00 μB/f.u. The value obtained for the relative energy among the computed polymorphs is 0 meV per atom.

Record 11
Density functional theory data (GGA-PBE) for Sr3Zn2Au after structural relaxation.

The space group is Pnma (No. 62) and the conventional cell measures 12.8737, 4.6243 and 12.9482 Å, with angles of 90.00, 90.00 and 90.00 degrees. The inequivalent atoms are Sr at (0.0519, 0.2500, 0.1261), Sr at (0.1180, 0.7500, 0.5566), Sr at (0.2164, 0.2500, 0.8000), Zn at (0.0227, 0.7500, 0.3129), Zn at (0.2000, 0.7500, 0.9959) and Au at (0.1229, 0.2500, 0.3713).

The calculation puts the size of the total moment at 0.00 μB/f.u. For the formation energy, the calculation gives -2.3 eV per formula unit.

Record 12
Density functional theory data (GGA-PBE) for TlBiTe2 after structural relaxation.

The space group is P4/mmm (No. 123) and the conventional cell measures 4.6052, 4.6052 and 6.4481 Å, with angles of 90.00, 90.00 and 90.00 degrees. The inequivalent atoms are Tl at (0.0000, 0.0000, 0.0000), Bi at (0.5000, 0.5000, 0.5000), Te at (0.0000, 0.0000, 0.5000) and Te at (0.5000, 0.5000, 0.0000).

Its uncorrected formation energy is -0.187 eV/atom. The calculation puts the size of the total moment at 0.00 μB/f.u.